1.
Computed, not measured: an optimized crystal structure of Rb2BaNaBr6 at the PBE level of DFT.

Summary:
For the raw formation energy, the calculation gives -1.504 eV per atom. As for the space group: Fm-3m (225). As for the spin magnetization: 1.00 μB/cell.

abc: 8.521 8.521 8.521
angles: 60.00 60.00 60.00
Fractional positions:
Rb 0.250 0.250 0.250
Rb 0.750 0.750 0.750
Ba 0.000 0.000 0.000
Na 0.500 0.500 0.500
Br 0.261 0.261 0.739
Br 0.261 0.739 0.261
Br 0.261 0.739 0.739
Br 0.739 0.261 0.261
Br 0.739 0.261 0.739
Br 0.739 0.739 0.261


2.
Computed, not measured: an optimized crystal structure of LaH3Os at the PBE level of DFT.

Summary:
As for the space group: Pm-3m (221). As for the total DFT energy (no corrections): -27.7 eV for the cell shown. As for the spin magnetization: 0.00 μB/cell.

abc: 3.789 3.789 3.789
angles: 90.00 90.00 90.00
Fractional positions:
La 0.000 0.000 0.000
H 0.000 0.500 0.500
H 0.500 0.000 0.500
H 0.500 0.500 0.000
Os 0.500 0.500 0.500


3.
Computed, not measured: an optimized crystal structure of CaSi3Ir at the PBE level of DFT.

Summary:
For the raw formation energy, the calculation gives 0.172 eV per atom. As for the space group: Pm-3m (221). As for the spin magnetization: 0.00 μB/cell.

abc: 4.745 4.745 4.745
angles: 90.00 90.00 90.00
Fractional positions:
Ca 0.000 0.000 0.000
Si 0.000 0.500 0.500
Si 0.500 0.000 0.500
Si 0.500 0.500 0.000
Ir 0.500 0.500 0.500


4.
Computed, not measured: an optimized crystal structure of Ba3Tl4Cd2 at the PBE level of DFT.

Summary:
As for the energy of formation from the pure elements: -0.368 eV/atom. As for the space group: C2/m (12). As for the spin magnetization: 0.00 μB/cell.

abc: 6.778 6.778 10.220
angles: 110.91 110.91 46.43
Fractional positions:
Ba 0.000 0.000 0.000
Ba 0.326 0.326 0.345
Ba 0.674 0.674 0.655
Tl 0.025 0.025 0.359
Tl 0.257 0.257 0.918
Tl 0.743 0.743 0.082
Tl 0.975 0.975 0.641
Cd 0.403 0.403 0.731
Cd 0.597 0.597 0.269


5.
Computed, not measured: an optimized crystal structure of HoTcO5 at the PBE level of DFT.

Summary:
The calculation puts the excess energy over the best structure of this formula in the dataset at 0.0 meV/atom. For the raw formation energy, the calculation gives -2.064 eV per atom. As for the space group: C2/c (15). As for the spin magnetization: 0.00 μB/cell.

abc: 5.688 5.688 8.697
angles: 108.82 108.82 87.35
Fractional positions:
Ho 0.000 0.000 0.000
Ho 0.000 0.000 0.500
Tc 0.323 0.677 0.750
Tc 0.677 0.323 0.250
O 0.068 0.932 0.750
O 0.248 0.691 0.942
O 0.254 0.354 0.647
O 0.309 0.752 0.558
O 0.354 0.254 0.147
O 0.646 0.746 0.853
O 0.691 0.248 0.442
O 0.746 0.646 0.353
O 0.752 0.309 0.058
O 0.932 0.068 0.250


6.
Computed, not measured: an optimized crystal structure of Er3HgAu at the PBE level of DFT.

Summary:
As for the energy of formation from the pure elements: -0.368 eV/atom. As for the space group: Amm2 (38). As for the spin magnetization: 0.00 μB/cell.

abc: 3.725 9.239 9.239
angles: 116.28 90.00 90.00
Fractional positions:
Er 0.000 0.111 0.889
Er 0.000 0.276 0.499
Er 0.000 0.499 0.276
Er 0.000 0.889 0.111
Er 0.500 0.537 0.850
Er 0.500 0.850 0.537
Hg 0.000 0.693 0.693
Hg 0.500 0.194 0.194
Au 0.500 0.194 0.694
Au 0.500 0.694 0.194


Calculated calculated volume, 437, 54, 107, 314, 126, 143 Å³/f.u. (same order as the records).